A plane-wave DFT calculation with PBE-GGA was carried out for a relaxed structure of Pm3Ga3Ag.

- Calculated formation energy: -3.8 eV/f.u.

abc: 5.9478 5.9478 14.7457
angles: 109.13 109.13 44.69
Atoms (fractional coordinates):
Pm 0.0370 0.0370 0.3796
Pm 0.1061 0.1061 0.9256
Pm 0.2400 0.2400 0.2257
Pm 0.7600 0.7600 0.7743
Pm 0.8939 0.8939 0.0744
Pm 0.9630 0.9630 0.6204
Ga 0.3760 0.3760 0.4556
Ga 0.3927 0.3927 0.9238
Ga 0.4712 0.4712 0.7729
Ga 0.5288 0.5288 0.2271
Ga 0.6073 0.6073 0.0762
Ga 0.6240 0.6240 0.5444
Ag 0.2535 0.2535 0.6041
Ag 0.7465 0.7465 0.3959